DFT (PBE) results for a relaxed structure of Ba2ScV2.

abc: 3.4523 3.4523 24.8800
angles: 90.00 90.00 90.00
Closest atoms and distances in Å follow each position.
Space group I4/mmm (No. 139)
Unique sites:
Ba1 0.0000 0.0000 0.1229 (multiplicity 4)  4 Ba 3.45, 4 V 3.60
Sc1 0.0000 0.0000 0.5000 (multiplicity 2)  4 Sc 3.45
V1 0.0000 0.5000 0.2500 (multiplicity 4)  4 V 2.44

Calculated values
E_form	786	meV per atom
V	29.65	Å³ per atom
E above lowest polymorph	0	meV/atom
total magnetic moment	0.32	μB per atom